# 1
This record from Alexandria describes an optimized crystal structure of Cr2HIr. The functional is PBE.

Computed properties:
- Total energy: -31.8 eV per formula unit

Unit cell a=2.6837 b=2.6837 c=6.5882 alpha=78.25 beta=78.25 gamma=60.00
Atoms (fractional coordinates):
H: 0.6680 0.6680 0.9959
Cr: 0.2756 0.2756 0.1731
Cr: 0.0571 0.0571 0.8287
Ir: 0.4992 0.4992 0.5024

# 2
This record from Alexandria describes an optimized crystal structure of Dy7Sn2Ir2. The functional is PBE.

Computed properties:
- Formation energy: -54 kJ per mole of atoms

Unit cell a=6.8143 b=7.1002 c=6.8143 alpha=90.00 beta=105.22 gamma=90.00
Atoms (fractional coordinates):
Dy: 0.0002 0.7531 0.4997
Dy: 0.5002 0.7641 0.4998
Dy: 0.4997 0.2469 0.0002
Dy: 0.0000 0.0000 0.0000
Dy: 0.4998 0.2359 0.5002
Dy: 0.9998 0.2469 0.5003
Dy: 0.5003 0.7531 0.9998
Sn: 0.8181 0.5000 0.8181
Sn: 0.1819 0.5000 0.1819
Ir: 0.7156 0.0000 0.2844
Ir: 0.2844 0.0000 0.7156

# 3
This record from Alexandria describes an optimized crystal structure of NiS2Cl2. The functional is PBE.

Computed properties:
- Uncorrected formation energy: -0.18 eV per atom

Unit cell a=4.4582 b=4.4580 c=7.7758 alpha=74.94 beta=74.94 gamma=106.00
Atoms (fractional coordinates):
Ni: 0.2161 0.9839 0.0000
Cl: 0.0616 0.9530 0.2899
Cl: 0.2470 0.1383 0.7101
S: 0.6872 0.4120 0.8928
S: 0.7880 0.5127 0.1072

# 4
This record from Alexandria describes an optimized crystal structure of YMg2Mo. The functional is PBE.

Computed properties:
- Formation energy: 42 kJ per mole of atoms

Unit cell a=5.0066 b=5.0066 c=5.0066 alpha=60.00 beta=60.00 gamma=60.00
Atoms (fractional coordinates):
Y: 0.7500 0.7500 0.7500
Mo: 0.5000 0.5000 0.5000
Mg: 0.0000 0.0000 0.0000
Mg: 0.2500 0.2500 0.2500